1.
# TiAs3O

TiAs3O after structural relaxation (PBE, the Alexandria database).

a = 4.783 Å, b = 4.783 Å, c = 4.783 Å
α = 90.00°, β = 90.00°, γ = 90.00°
Fractional positions:
1 Ti 0.000 0.000 0.000
2 As 0.000 0.000 0.500
3 As 0.000 0.500 0.000
4 As 0.500 0.000 0.000
5 O 0.500 0.500 0.500

Computed properties:
* energy relative to the lowest polymorph listed for this composition: 578 meV/atom
* magnetization: 0.000 μB per atom
* raw total energy: -4.8138 eV/atom
* space-group type: Pm-3m, No. 221
* formation energy without anion corrections: 547 meV/atom



2.
# TiAs2O6

TiAs2O6 after structural relaxation (PBE, the Alexandria database).

a = 5.596 Å, b = 5.596 Å, c = 5.816 Å
α = 90.00°, β = 90.00°, γ = 120.00°
Fractional positions:
1 Ti 0.000 0.000 0.000
2 As 0.333 0.667 0.712
3 As 0.667 0.333 0.288
4 O 0.165 0.331 0.809
5 O 0.165 0.835 0.809
6 O 0.331 0.165 0.191
7 O 0.669 0.835 0.809
8 O 0.835 0.165 0.191
9 O 0.835 0.669 0.191

Computed properties:
* magnetization: 0.031 μB per atom
* raw total energy: -6.6752 eV/atom
* space-group type: P-3m1, No. 164
* formation energy without anion corrections: -1459 meV/atom



3.
# TiAsO3

TiAsO3 after structural relaxation (PBE, the Alexandria database).

a = 3.843 Å, b = 3.843 Å, c = 3.843 Å
α = 90.00°, β = 90.00°, γ = 90.00°
Fractional positions:
1 Ti 0.000 0.000 0.000
2 As 0.500 0.500 0.500
3 O 0.000 0.500 0.500
4 O 0.500 0.000 0.500
5 O 0.500 0.500 0.000

Computed properties:
* magnetization: 0.378 μB per atom
* raw total energy: -6.3416 eV/atom
* space-group type: Pm-3m, No. 221
* formation energy without anion corrections: -858 meV/atom



4.
# Ti4AsO

Ti4AsO after structural relaxation (PBE, the Alexandria database).

a = 5.477 Å, b = 5.609 Å, c = 5.890 Å
α = 90.00°, β = 98.55°, γ = 90.00°
Fractional positions:
1 Ti 0.099 0.167 0.187
2 Ti 0.099 0.333 0.687
3 Ti 0.338 0.628 0.111
4 Ti 0.338 0.872 0.611
5 Ti 0.662 0.128 0.389
6 Ti 0.662 0.372 0.889
7 Ti 0.901 0.667 0.313
8 Ti 0.901 0.833 0.813
9 As 0.500 0.000 0.000
10 As 0.500 0.500 0.500
11 O 0.000 0.000 0.500
12 O 0.000 0.500 0.000

Computed properties:
* magnetization: 0.000 μB per atom
* raw total energy: -7.9214 eV/atom
* space-group type: P2_1/c, No. 14
* formation energy without anion corrections: -1057 meV/atom



5.
# Ti2AsO6

Ti2AsO6 after structural relaxation (PBE, the Alexandria database).

a = 8.196 Å, b = 8.196 Å, c = 5.944 Å
α = 109.93°, β = 109.93°, γ = 87.30°
Fractional positions:
1 Ti 0.150 0.331 0.280
2 Ti 0.331 0.150 0.780
3 Ti 0.669 0.850 0.220
4 Ti 0.850 0.669 0.720
5 As 0.259 0.741 0.750
6 As 0.741 0.259 0.250
7 O 0.080 0.757 0.855
8 O 0.162 0.566 0.425
9 O 0.243 0.920 0.645
10 O 0.248 0.271 0.029
11 O 0.271 0.248 0.529
12 O 0.434 0.838 0.075
13 O 0.566 0.162 0.925
14 O 0.729 0.752 0.471
15 O 0.752 0.729 0.971
16 O 0.757 0.080 0.355
17 O 0.838 0.434 0.575
18 O 0.920 0.243 0.145

Computed properties:
* magnetization: 0.112 μB per atom
* raw total energy: -7.8329 eV/atom
* space-group type: C2/c, No. 15
* formation energy without anion corrections: -2256 meV/atom



6.
# TiAsO3

TiAsO3 after structural relaxation (PBE, the Alexandria database).

a = 3.851 Å, b = 3.851 Å, c = 3.851 Å
α = 90.00°, β = 90.00°, γ = 90.00°
Fractional positions:
1 Ti 0.000 0.000 0.000
2 As 0.500 0.500 0.500
3 O 0.000 0.000 0.500
4 O 0.000 0.500 0.000
5 O 0.500 0.000 0.000

Computed properties:
* magnetization: 0.000 μB per atom
* raw total energy: -7.0256 eV/atom
* space-group type: Pm-3m, No. 221
* formation energy without anion corrections: -1542 meV/atom



7.
# TiTl2As2O6

TiTl2As2O6 after structural relaxation (PBE, the Alexandria database).

a = 5.331 Å, b = 5.331 Å, c = 7.454 Å
α = 104.15°, β = 104.15°, γ = 64.07°
Fractional positions:
1 Ti 0.000 0.000 0.000
2 Tl 0.222 0.222 0.666
3 Tl 0.778 0.778 0.334
4 As 0.398 0.398 0.237
5 As 0.602 0.602 0.763
6 O 0.225 0.225 0.045
7 O 0.244 0.734 0.809
8 O 0.266 0.756 0.191
9 O 0.734 0.244 0.809
10 O 0.756 0.266 0.191
11 O 0.775 0.775 0.955

Computed properties:
* magnetization: 0.000 μB per atom
* raw total energy: -6.2388 eV/atom
* space-group type: C2/m, No. 12
* formation energy without anion corrections: -1541 meV/atom



8.
# TiTlAsO5

TiTlAsO5 after structural relaxation (PBE, the Alexandria database).

a = 13.462 Å, b = 6.754 Å, c = 10.933 Å
α = 90.00°, β = 90.00°, γ = 90.00°
Fractional positions:
1 Ti 0.130 0.008 0.000
2 Ti 0.243 0.270 0.746
3 Ti 0.257 0.770 0.246
4 Ti 0.370 0.508 0.500
5 Ti 0.630 0.492 0.000
6 Ti 0.743 0.230 0.746
7 Ti 0.757 0.730 0.246
8 Ti 0.870 0.992 0.500
9 Tl 0.104 0.705 0.568
10 Tl 0.119 0.288 0.324
11 Tl 0.381 0.788 0.824
12 Tl 0.396 0.205 0.068
13 Tl 0.604 0.795 0.568
14 Tl 0.619 0.212 0.324
15 Tl 0.881 0.712 0.824
16 Tl 0.896 0.295 0.068
17 As 0.003 0.833 0.257
18 As 0.181 0.512 0.007
19 As 0.319 0.012 0.507
20 As 0.497 0.333 0.757
21 As 0.503 0.667 0.257
22 As 0.681 0.988 0.007
23 As 0.819 0.488 0.507
24 As 0.997 0.167 0.757
25 O 0.008 0.042 0.895
26 O 0.015 0.005 0.144
27 O 0.098 0.320 0.733
28 O 0.107 0.713 0.978
29 O 0.109 0.690 0.273
30 O 0.112 0.308 0.046
31 O 0.215 0.065 0.882
32 O 0.221 0.952 0.132
33 O 0.237 0.048 0.627
34 O 0.244 0.969 0.382
35 O 0.256 0.469 0.882
36 O 0.263 0.548 0.127
37 O 0.279 0.452 0.632
38 O 0.285 0.565 0.382
39 O 0.388 0.808 0.546
40 O 0.391 0.190 0.773
41 O 0.393 0.213 0.478
42 O 0.402 0.820 0.233
43 O 0.485 0.505 0.644
44 O 0.492 0.542 0.395
45 O 0.508 0.458 0.895
46 O 0.515 0.495 0.144
47 O 0.598 0.180 0.733
48 O 0.607 0.787 0.978
49 O 0.609 0.810 0.273
50 O 0.612 0.192 0.046
51 O 0.715 0.435 0.882
52 O 0.721 0.548 0.132
53 O 0.737 0.452 0.627
54 O 0.744 0.531 0.382
55 O 0.756 0.031 0.882
56 O 0.763 0.952 0.127
57 O 0.779 0.048 0.632
58 O 0.785 0.935 0.382
59 O 0.888 0.692 0.546
60 O 0.891 0.310 0.773
61 O 0.893 0.287 0.478
62 O 0.902 0.680 0.233
63 O 0.985 0.995 0.644
64 O 0.992 0.958 0.395

Computed properties:
* energy relative to the lowest polymorph listed for this composition: 0 meV/atom
* magnetization: 0.000 μB per atom
* raw total energy: -6.8373 eV/atom
* space-group type: Pna2_1, No. 33
* formation energy without anion corrections: -1875 meV/atom



9.
# TiTlAsO5

TiTlAsO5 after structural relaxation (PBE, the Alexandria database).

a = 5.936 Å, b = 5.936 Å, c = 7.377 Å
α = 105.13°, β = 105.13°, γ = 105.30°
Fractional positions:
1 Ti 0.000 0.000 0.000
2 Ti 0.000 0.000 0.500
3 Tl 0.328 0.672 0.750
4 Tl 0.672 0.328 0.250
5 As 0.308 0.692 0.250
6 As 0.692 0.308 0.750
7 O 0.047 0.953 0.750
8 O 0.117 0.716 0.392
9 O 0.216 0.385 0.097
10 O 0.284 0.883 0.108
11 O 0.385 0.216 0.597
12 O 0.615 0.784 0.403
13 O 0.716 0.117 0.892
14 O 0.784 0.615 0.903
15 O 0.883 0.284 0.608
16 O 0.953 0.047 0.250

Computed properties:
* energy relative to the lowest polymorph listed for this composition: 112 meV/atom
* magnetization: 0.000 μB per atom
* raw total energy: -6.7257 eV/atom
* space-group type: C2/c, No. 15
* formation energy without anion corrections: -1763 meV/atom



10.
# TiTlAs2O8

TiTlAs2O8 after structural relaxation (PBE, the Alexandria database).

a = 8.380 Å, b = 8.380 Å, c = 8.380 Å
α = 34.85°, β = 34.85°, γ = 34.85°
Fractional positions:
1 Ti 0.000 0.000 0.000
2 Tl 0.500 0.500 0.500
3 As 0.262 0.262 0.262
4 As 0.738 0.738 0.738
5 O 0.027 0.376 0.746
6 O 0.189 0.189 0.189
7 O 0.254 0.973 0.624
8 O 0.376 0.746 0.027
9 O 0.624 0.254 0.973
10 O 0.746 0.027 0.376
11 O 0.811 0.811 0.811
12 O 0.973 0.624 0.254

Computed properties:
* magnetization: 0.024 μB per atom
* raw total energy: -6.4155 eV/atom
* space-group type: R-3, No. 148
* formation energy without anion corrections: -1480 meV/atom



11.
# UTiAs2O

UTiAs2O after structural relaxation (PBE, the Alexandria database).

a = 3.708 Å, b = 3.708 Å, c = 12.911 Å
α = 90.00°, β = 90.00°, γ = 90.00°
Fractional positions:
1 U 0.250 0.250 0.106
2 U 0.750 0.750 0.894
3 Ti 0.250 0.250 0.586
4 Ti 0.750 0.750 0.414
5 As 0.250 0.250 0.384
6 As 0.250 0.250 0.788
7 As 0.750 0.750 0.212
8 As 0.750 0.750 0.616
9 O 0.250 0.750 0.000
10 O 0.750 0.250 0.000

Computed properties:
* magnetization: 0.319 μB per atom
* raw total energy: -8.1426 eV/atom
* space-group type: P4/nmm, No. 129
* formation energy without anion corrections: -1455 meV/atom



12.
# TiZnAs2O7

TiZnAs2O7 after structural relaxation (PBE, the Alexandria database).

a = 8.494 Å, b = 8.585 Å, c = 11.120 Å
α = 90.00°, β = 126.00°, γ = 90.00°
Fractional positions:
1 Ti 0.133 0.016 0.286
2 Ti 0.133 0.484 0.786
3 Ti 0.867 0.516 0.214
4 Ti 0.867 0.984 0.714
5 Zn 0.353 0.133 0.878
6 Zn 0.353 0.367 0.378
7 Zn 0.647 0.633 0.622
8 Zn 0.647 0.867 0.122
9 As 0.002 0.207 0.536
10 As 0.002 0.293 0.036
11 As 0.419 0.723 0.262
12 As 0.419 0.777 0.762
13 As 0.581 0.223 0.238
14 As 0.581 0.277 0.738
15 As 0.998 0.707 0.964
16 As 0.998 0.793 0.464
17 O 0.026 0.614 0.395
18 O 0.026 0.886 0.895
19 O 0.050 0.079 0.686
20 O 0.050 0.421 0.186
21 O 0.265 0.647 0.081
22 O 0.265 0.853 0.581
23 O 0.271 0.163 0.409
24 O 0.271 0.337 0.909
25 O 0.280 0.633 0.767
26 O 0.280 0.867 0.267
27 O 0.381 0.215 0.721
28 O 0.381 0.285 0.221
29 O 0.469 0.586 0.394
30 O 0.469 0.914 0.894
31 O 0.531 0.086 0.106
32 O 0.531 0.414 0.606
33 O 0.619 0.715 0.779
34 O 0.619 0.785 0.279
35 O 0.720 0.133 0.733
36 O 0.720 0.367 0.233
37 O 0.729 0.663 0.091
38 O 0.729 0.837 0.591
39 O 0.735 0.147 0.419
40 O 0.735 0.353 0.919
41 O 0.950 0.579 0.814
42 O 0.950 0.921 0.314
43 O 0.974 0.114 0.105
44 O 0.974 0.386 0.605

Computed properties:
* magnetization: 0.000 μB per atom
* raw total energy: -6.5287 eV/atom
* space-group type: P2_1/c, No. 14
* formation energy without anion corrections: -1695 meV/atom



13.
# ZrTi2AsO

ZrTi2AsO after structural relaxation (PBE, the Alexandria database).

a = 4.937 Å, b = 4.937 Å, c = 3.878 Å
α = 90.00°, β = 90.00°, γ = 90.00°
Fractional positions:
1 Zr 0.000 0.000 0.000
2 Ti 0.000 0.500 0.500
3 Ti 0.500 0.000 0.500
4 As 0.500 0.500 0.500
5 O 0.500 0.500 0.000

Computed properties:
* magnetization: 0.002 μB per atom
* raw total energy: -6.5736 eV/atom
* space-group type: P4/mmm, No. 123
* formation energy without anion corrections: 216 meV/atom



14.
# Tl3AsO6

Tl3AsO6 after structural relaxation (PBE, the Alexandria database).

a = 6.699 Å, b = 6.699 Å, c = 6.699 Å
α = 92.23°, β = 92.23°, γ = 92.23°
Fractional positions:
1 Tl 0.057 0.567 0.752
2 Tl 0.248 0.943 0.433
3 Tl 0.433 0.248 0.943
4 Tl 0.567 0.752 0.057
5 Tl 0.752 0.057 0.567
6 Tl 0.943 0.433 0.248
7 As 0.000 0.000 0.000
8 As 0.500 0.500 0.500
9 O 0.033 0.933 0.722
10 O 0.067 0.278 0.967
11 O 0.194 0.592 0.436
12 O 0.278 0.967 0.067
13 O 0.408 0.564 0.806
14 O 0.436 0.194 0.592
15 O 0.564 0.806 0.408
16 O 0.592 0.436 0.194
17 O 0.722 0.033 0.933
18 O 0.806 0.408 0.564
19 O 0.933 0.722 0.033
20 O 0.967 0.067 0.278

Computed properties:
* magnetization: 0.000 μB per atom
* raw total energy: -4.8726 eV/atom
* space-group type: R-3, No. 148
* formation energy without anion corrections: -723 meV/atom



15.
# TlAs3O9

TlAs3O9 after structural relaxation (PBE, the Alexandria database).

a = 8.094 Å, b = 8.094 Å, c = 10.333 Å
α = 124.25°, β = 124.25°, γ = 51.88°
Fractional positions:
1 Tl 0.234 0.766 0.500
2 Tl 0.766 0.234 0.000
3 As 0.037 0.249 0.827
4 As 0.249 0.037 0.327
5 As 0.282 0.443 0.677
6 As 0.443 0.282 0.177
7 As 0.676 0.812 0.222
8 As 0.812 0.676 0.722
9 O 0.084 0.210 0.215
10 O 0.134 0.917 0.321
11 O 0.180 0.387 0.028
12 O 0.210 0.084 0.715
13 O 0.307 0.637 0.682
14 O 0.387 0.180 0.528
15 O 0.399 0.405 0.359
16 O 0.405 0.399 0.859
17 O 0.484 0.816 0.260
18 O 0.506 0.997 0.104
19 O 0.562 0.768 0.582
20 O 0.637 0.307 0.182
21 O 0.768 0.562 0.082
22 O 0.816 0.484 0.760
23 O 0.854 0.899 0.406
24 O 0.899 0.854 0.906
25 O 0.917 0.134 0.821
26 O 0.997 0.506 0.604

Computed properties:
* magnetization: 0.000 μB per atom
* raw total energy: -5.6938 eV/atom
* space-group type: Cc, No. 9
* formation energy without anion corrections: -1006 meV/atom



16.
# Tl2As2O7

Tl2As2O7 after structural relaxation (PBE, the Alexandria database).

a = 6.177 Å, b = 6.177 Å, c = 5.048 Å
α = 96.69°, β = 96.69°, γ = 106.06°
Fractional positions:
1 Tl 0.194 0.806 0.000
2 Tl 0.806 0.194 0.000
3 As 0.280 0.280 0.588
4 As 0.720 0.720 0.412
5 O 0.121 0.413 0.771
6 O 0.124 0.124 0.286
7 O 0.413 0.121 0.771
8 O 0.500 0.500 0.500
9 O 0.587 0.879 0.229
10 O 0.876 0.876 0.714
11 O 0.879 0.587 0.229

Computed properties:
* energy relative to the lowest polymorph listed for this composition: 0 meV/atom
* magnetization: 0.000 μB per atom
* raw total energy: -5.4092 eV/atom
* space-group type: C2/m, No. 12
* formation energy without anion corrections: -978 meV/atom



17.
# Tl2AsO4

Tl2AsO4 after structural relaxation (PBE, the Alexandria database).

a = 3.764 Å, b = 3.764 Å, c = 15.524 Å
α = 90.00°, β = 90.00°, γ = 90.00°
Fractional positions:
1 Tl 0.000 0.000 0.151
2 Tl 0.000 0.000 0.849
3 Tl 0.500 0.500 0.349
4 Tl 0.500 0.500 0.651
5 As 0.000 0.000 0.500
6 As 0.500 0.500 0.000
7 O 0.000 0.000 0.383
8 O 0.000 0.000 0.617
9 O 0.000 0.500 0.000
10 O 0.000 0.500 0.500
11 O 0.500 0.000 0.000
12 O 0.500 0.000 0.500
13 O 0.500 0.500 0.117
14 O 0.500 0.500 0.883

Computed properties:
* energy relative to the lowest polymorph listed for this composition: 228 meV/atom
* magnetization: 0.000 μB per atom
* raw total energy: -4.9003 eV/atom
* space-group type: I4/mmm, No. 139
* formation energy without anion corrections: -727 meV/atom



18.
# TlAsO2

TlAsO2 after structural relaxation (PBE, the Alexandria database).

a = 6.077 Å, b = 6.077 Å, c = 6.077 Å
α = 90.00°, β = 90.00°, γ = 90.00°
Fractional positions:
1 Tl 0.000 0.000 0.000
2 Tl 0.000 0.500 0.500
3 Tl 0.500 0.000 0.500
4 Tl 0.500 0.500 0.000
5 As 0.000 0.000 0.500
6 As 0.000 0.500 0.000
7 As 0.500 0.000 0.000
8 As 0.500 0.500 0.500
9 O 0.250 0.250 0.250
10 O 0.250 0.250 0.750
11 O 0.250 0.750 0.250
12 O 0.250 0.750 0.750
13 O 0.750 0.250 0.250
14 O 0.750 0.250 0.750
15 O 0.750 0.750 0.250
16 O 0.750 0.750 0.750

Computed properties:
* energy relative to the lowest polymorph listed for this composition: 1159 meV/atom
* magnetization: 0.000 μB per atom
* raw total energy: -4.1144 eV/atom
* space-group type: Fm-3m, No. 225
* formation energy without anion corrections: 119 meV/atom